FeSO5: relaxed, GGA+U.

Structure (CIF):
```
data_FeSO5
_symmetry_space_group_name_H-M 'P n m a'
_symmetry_Int_Tables_number 62
_symmetry_space_group_name_Hall '-P 2ac 2n'
_cell_length_a 7.106
_cell_length_b 6.485
_cell_length_c 7.473
_cell_angle_alpha 90.00
_cell_angle_beta 90.00
_cell_angle_gamma 90.00
loop_
_atom_site_label
_atom_site_type_symbol
_atom_site_fract_x
_atom_site_fract_y
_atom_site_fract_z
Fe1 Fe 0.130 0.250 0.243
S1 S 0.129 0.750 0.123
O1 O 0.048 0.250 0.984
O2 O 0.119 0.750 0.681
O3 O 0.132 0.569 0.243
O4 O 0.202 0.250 0.505
```

Computed properties:
- DFT total energy (eV for the cell shown) = -169.3
- ρ (Mg/m³) = 3.2